InCo2Br | SCAN | PBEsol geometry

a b c (Å): 3.1100 4.4017 4.4017
angles (deg): 90.00 90.00 90.00
Fractional positions:
Co1 0.0000 0.0000 0.5000
Co2 0.0000 0.5000 0.0000
Br1 0.5000 0.0000 0.0000
In1 0.5000 0.5000 0.5000

Summary:
- Formation energy from raw total energies: 3.12 eV per formula unit
- E_tot: -21.085 eV/atom
- Total moment: 0.668 μB per atom
- Crystal system: tetragonal

NdTiGe | SCAN | PBEsol geometry

a b c (Å): 4.0848 4.0848 7.7680
angles (deg): 90.00 90.00 90.00
Fractional positions:
Ge1 0.5000 0.0000 0.2261
Ge2 0.0000 0.5000 0.7739
Nd1 0.0000 0.5000 0.3480
Nd2 0.5000 0.0000 0.6520
Ti1 0.5000 0.5000 0.0000
Ti2 0.0000 0.0000 0.0000

Summary:
- E_tot: -26.959 eV/atom
- Total moment: 0.096 μB per atom
- Crystal system: tetragonal

What did the first record say?
InCo2Br | SCAN | PBEsol geometry

a b c (Å): 3.1100 4.4017 4.4017
angles (deg): 90.00 90.00 90.00
Fractional positions:
Co1 0.0000 0.0000 0.5000
Co2 0.0000 0.5000 0.0000
Br1 0.5000 0.0000 0.0000
In1 0.5000 0.5000 0.5000

Summary:
- Formation energy from raw total energies: 3.12 eV per formula unit
- E_tot: -21.085 eV/atom
- Total moment: 0.668 μB per atom
- Crystal system: tetragonal